Record 1
This record from the Alexandria database describes a relaxed structure of HgMo. The functional is PBE.

DOS(E_F)	3.083	states/eV per cell
energy above the lowest structure with this stoichiometry	1	meV/atom
SG	P4/nmm, No. 129

a = 3.227 Å, b = 3.227 Å, c = 7.401 Å
α = 90.00°, β = 90.00°, γ = 90.00°
Fractional coordinates of all 4 atoms:
Hg  0.250  0.250  0.147
Hg  0.750  0.750  0.853
Mo  0.250  0.250  0.585
Mo  0.750  0.750  0.415

=====

Record 2
This record from the Alexandria database describes a relaxed structure of HgMo. The functional is PBE.

DOS(E_F)	4.109	states/eV per cell
energy above the lowest structure with this stoichiometry	1427	meV/atom
SG	P6_3/mmc, No. 194

a = 4.616 Å, b = 4.616 Å, c = 5.485 Å
α = 90.00°, β = 90.00°, γ = 120.00°
Fractional coordinates of all 4 atoms:
Hg  0.333  0.667  0.250
Hg  0.667  0.333  0.750
Mo  0.333  0.667  0.750
Mo  0.667  0.333  0.250

=====

Record 3
This record from the Alexandria database describes a relaxed structure of Hg2Mo. The functional is PBE.

DOS(E_F)	3.323	states/eV per cell
energy above the lowest structure with this stoichiometry	163	meV/atom
SG	Amm2, No. 38

a = 4.893 Å, b = 9.343 Å, c = 9.343 Å
α = 19.10°, β = 90.00°, γ = 90.00°
Fractional coordinates of all 6 atoms:
Hg  0.000  0.000  0.000
Hg  0.000  0.308  0.308
Hg  0.000  0.650  0.650
Hg  0.500  0.426  0.426
Mo  0.500  0.181  0.181
Mo  0.500  0.780  0.780

=====

Record 4
This record from the Alexandria database describes a relaxed structure of Hg3Mo. The functional is PBE.

DOS(E_F)	3.922	states/eV per cell
energy above the lowest structure with this stoichiometry	360	meV/atom
SG	Pmmn, No. 59

a = 4.700 Å, b = 6.050 Å, c = 5.893 Å
α = 90.00°, β = 90.00°, γ = 90.00°
Fractional coordinates of all 8 atoms:
Hg  0.250  0.000  0.155
Hg  0.250  0.250  0.629
Hg  0.250  0.500  0.155
Hg  0.750  0.000  0.845
Hg  0.750  0.500  0.845
Hg  0.750  0.750  0.371
Mo  0.250  0.750  0.665
Mo  0.750  0.250  0.335

=====

Record 5
This record from the Alexandria database describes a relaxed structure of Hg2Mo. The functional is PBE.

DOS(E_F)	4.967	states/eV per cell
energy above the lowest structure with this stoichiometry	760	meV/atom
SG	Fd-3m, No. 227

a = 5.530 Å, b = 5.530 Å, c = 5.530 Å
α = 60.00°, β = 60.00°, γ = 60.00°
Fractional coordinates of all 6 atoms:
Hg  0.000  0.000  0.000
Hg  0.000  0.000  0.500
Hg  0.000  0.500  0.000
Hg  0.500  0.000  0.000
Mo  0.375  0.375  0.375
Mo  0.625  0.625  0.625

=====

Record 6
This record from the Alexandria database describes a relaxed structure of Hg2Mo. The functional is PBE.

DOS(E_F)	5.106	states/eV per cell
energy above the lowest structure with this stoichiometry	282	meV/atom
SG	I4_1/amd, No. 141

a = 13.624 Å, b = 13.624 Å, c = 13.624 Å
α = 162.17°, β = 162.17°, γ = 25.33°
Fractional coordinates of all 12 atoms:
Hg  0.043  0.793  0.250
Hg  0.123  0.373  0.750
Hg  0.207  0.957  0.250
Hg  0.373  0.123  0.250
Hg  0.627  0.877  0.750
Hg  0.793  0.043  0.750
Hg  0.877  0.627  0.250
Hg  0.957  0.207  0.750
Mo  0.281  0.531  0.750
Mo  0.469  0.719  0.750
Mo  0.531  0.281  0.250
Mo  0.719  0.469  0.250

=====

Here are the calculated formation energy from the elements numbers, same order: 420, 1846, 436, 668, 1033, 555 (meV per atom).
Here are the calculated total magnetic moment numbers, same order: 0.000, 0.000, 0.000, 0.547, 0.013, 0.000 (μB per atom).